A geometry-optimized KPr2MnO5 structure. Source: Alexandria via LeMat-Bulk, functional PBE with a Hubbard U.

Calculated values
DFT total energy = -130.9 eV per cell

a = 6.8455 Å, b = 6.8455 Å, c = 5.8697 Å
α = 90.00°, β = 90.00°, γ = 90.00°
Atoms (fractional coordinates):
K 0.0000 0.0000 0.0000
K 0.5000 0.5000 0.0000
Pr 0.1789 0.3211 0.5000
Pr 0.3211 0.8211 0.5000
Pr 0.6789 0.1789 0.5000
Pr 0.8211 0.6789 0.5000
Mn 0.0000 0.5000 0.0000
Mn 0.5000 0.0000 0.0000
O 0.0000 0.0000 0.5000
O 0.1327 0.6327 0.2403
O 0.1327 0.6327 0.7597
O 0.3673 0.1327 0.2403
O 0.3673 0.1327 0.7597
O 0.5000 0.5000 0.5000
O 0.6327 0.8673 0.2403
O 0.6327 0.8673 0.7597
O 0.8673 0.3673 0.2403
O 0.8673 0.3673 0.7597